[1]
This record from Alexandria describes an optimized crystal structure of PmPrY6. The functional is GGA-PBE.

Lattice parameters (Å, degrees): 6.112 6.112 8.668 102.11 102.11 68.30
Atoms (fractional coordinates):
1 Pm 0.000 0.000 0.000
2 Pr 0.000 0.000 0.500
3 Y 0.063 0.543 0.199
4 Y 0.372 0.372 0.573
5 Y 0.457 0.937 0.801
6 Y 0.543 0.063 0.199
7 Y 0.628 0.628 0.427
8 Y 0.937 0.457 0.801

Values from the calculation:
total DFT energy (no corrections) = -5.666 eV per atom
formation energy from the elements = 0.37 eV/atom
E above lowest polymorph = 228 meV per atom
density = 4.7 g/cm³

***

[2]
This record from Alexandria describes an optimized crystal structure of SrCe2Ag2Pb2. The functional is GGA-PBE.

Lattice parameters (Å, degrees): 9.927 9.927 9.927 28.78 28.78 28.78
Atoms (fractional coordinates):
1 Sr 0.000 0.000 0.000
2 Ce 0.145 0.145 0.145
3 Ce 0.855 0.855 0.855
4 Ag 0.441 0.441 0.441
5 Ag 0.559 0.559 0.559
6 Pb 0.261 0.261 0.261
7 Pb 0.739 0.739 0.739

Values from the calculation:
total DFT energy (no corrections) = -4.099 eV per atom
formation energy from the elements = -0.29 eV/atom
density = 8.3 g/cm³

***

[3]
This record from Alexandria describes an optimized crystal structure of LiErScGe. The functional is GGA-PBE.

Lattice parameters (Å, degrees): 4.838 4.838 4.838 60.00 60.00 60.00
Atoms (fractional coordinates):
1 Li 0.000 0.000 0.000
2 Er 0.250 0.250 0.250
3 Sc 0.750 0.750 0.750
4 Ge 0.500 0.500 0.500

Values from the calculation:
total DFT energy (no corrections) = -4.772 eV per atom
formation energy from the elements = -0.42 eV/atom
density = 6.0 g/cm³

***

[4]
This record from Alexandria describes an optimized crystal structure of Tb6PdRu2. The functional is GGA-PBE.

Lattice parameters (Å, degrees): 8.380 8.380 8.380 111.62 111.03 105.82
Atoms (fractional coordinates):
1 Tb 0.055 0.246 0.809
2 Tb 0.179 0.274 0.453
3 Tb 0.179 0.726 0.905
4 Tb 0.330 0.015 0.685
5 Tb 0.330 0.644 0.315
6 Tb 0.437 0.246 0.191
7 Tb 0.563 0.754 0.809
8 Tb 0.670 0.356 0.685
9 Tb 0.670 0.985 0.315
10 Tb 0.821 0.274 0.095
11 Tb 0.821 0.726 0.547
12 Tb 0.945 0.754 0.191
13 Pd 0.000 0.000 0.000
14 Pd 0.500 0.500 0.000
15 Ru 0.125 0.625 0.500
16 Ru 0.325 0.000 0.325
17 Ru 0.675 0.000 0.675
18 Ru 0.875 0.375 0.500

Values from the calculation:
total DFT energy (no corrections) = -6.133 eV per atom
formation energy from the elements = -0.41 eV/atom
E above lowest polymorph = 0 meV per atom
density = 9.3 g/cm³

***

[5]
This record from Alexandria describes an optimized crystal structure of KMgPb2. The functional is GGA-PBE.

Lattice parameters (Å, degrees): 5.378 5.378 7.440 98.40 98.40 38.81
Atoms (fractional coordinates):
1 K 0.000 0.000 0.000
2 Mg 0.500 0.500 0.500
3 Pb 0.238 0.238 0.683
4 Pb 0.762 0.762 0.317

Values from the calculation:
total DFT energy (no corrections) = -2.626 eV per atom
formation energy from the elements = -0.10 eV/atom
density = 6.0 g/cm³

***

[6]
This record from Alexandria describes an optimized crystal structure of TbGdLuGa. The functional is GGA-PBE.

Lattice parameters (Å, degrees): 5.301 5.301 5.301 60.00 60.00 60.00
Atoms (fractional coordinates):
1 Tb 0.000 0.000 0.000
2 Gd 0.500 0.500 0.500
3 Lu 0.750 0.750 0.750
4 Ga 0.250 0.250 0.250

Values from the calculation:
total DFT energy (no corrections) = -6.689 eV per atom
formation energy from the elements = -0.12 eV/atom
density = 8.8 g/cm³

***

[7]
This record from Alexandria describes an optimized crystal structure of Dy15Er2Sc2. The functional is GGA-PBE.

Lattice parameters (Å, degrees): 8.615 8.615 8.615 79.37 79.37 79.37
Atoms (fractional coordinates):
1 Dy 0.000 0.000 0.500
2 Dy 0.000 0.295 0.705
3 Dy 0.000 0.500 0.000
4 Dy 0.000 0.705 0.295
5 Dy 0.147 0.630 0.630
6 Dy 0.295 0.000 0.705
7 Dy 0.295 0.705 0.000
8 Dy 0.370 0.370 0.853
9 Dy 0.370 0.853 0.370
10 Dy 0.500 0.000 0.000
11 Dy 0.630 0.147 0.630
12 Dy 0.630 0.630 0.147
13 Dy 0.705 0.000 0.295
14 Dy 0.705 0.295 0.000
15 Dy 0.853 0.370 0.370
16 Er 0.318 0.318 0.318
17 Er 0.682 0.682 0.682
18 Sc 0.091 0.091 0.091
19 Sc 0.909 0.909 0.909

Values from the calculation:
total DFT energy (no corrections) = -4.483 eV per atom
formation energy from the elements = 0.30 eV/atom
density = 7.8 g/cm³

***

[8]
This record from Alexandria describes an optimized crystal structure of Li2Zn3Au6. The functional is GGA-PBE.

Lattice parameters (Å, degrees): 13.822 13.822 13.822 163.90 163.90 22.84
Atoms (fractional coordinates):
1 Li 0.050 0.050 0.000
2 Li 0.950 0.950 0.000
3 Zn 0.309 0.309 0.000
4 Zn 0.500 0.500 0.000
5 Zn 0.691 0.691 0.000
6 Au 0.120 0.620 0.500
7 Au 0.214 0.214 0.000
8 Au 0.380 0.880 0.500
9 Au 0.620 0.120 0.500
10 Au 0.786 0.786 0.000
11 Au 0.880 0.380 0.500

Values from the calculation:
total DFT energy (no corrections) = -2.588 eV per atom
formation energy from the elements = -0.10 eV/atom
density = 11.4 g/cm³